# 1
Computed, not measured: Tb3Pm5Sm4 after structural relaxation at the PBE level of DFT.

```
Tb3Pm5Sm4
1.0
-6.797 0.936 2.299
4.222 0.764 -10.614
-5.348 -6.869 9.729
Tb Pm Sm
3 5 4
Direct
0.583 0.167 0.333
0.000 0.000 0.500
0.417 0.833 0.667
0.334 0.666 0.832
0.500 0.000 0.500
0.750 0.499 0.999
0.250 0.501 0.001
0.666 0.334 0.168
0.916 0.833 0.666
0.834 0.668 0.834
0.166 0.332 0.166
0.084 0.167 0.334
```

Magnetization: 0.00 μB/f.u.
Energy relative to the elements: 0.013 eV per atom
Relative energy among the computed polymorphs: 0 meV per atom



# 2
Computed, not measured: La4NiRu after structural relaxation at the PBE level of DFT.

```
La4NiRu
1.0
0.000 4.327 4.327
4.327 0.000 4.327
4.327 4.327 0.000
La Ni Ru
4 1 1
Direct
0.876 0.375 0.375
0.375 0.375 0.876
0.375 0.876 0.375
0.375 0.375 0.375
0.750 0.750 0.750
0.000 0.000 0.000
```

Magnetization: 0.00 μB/f.u.
Energy relative to the elements: 0.904 eV per atom
Relative energy among the computed polymorphs: 1099 meV per atom



# 3
Computed, not measured: CeThTe after structural relaxation at the PBE level of DFT.

```
CeThTe
1.0
-1.826 0.295 3.238
3.013 -4.005 2.063
1.647 5.143 0.461
Te Ce Th
1 1 1
Direct
0.167 0.333 0.667
0.667 0.667 0.333
0.167 0.000 0.000
```

Magnetization: 1.34 μB/f.u.
Formation energy from raw total energies: -0.291 eV/atom
Relative energy among the computed polymorphs: 233 meV per atom



# 4
Computed, not measured: LaGe4Pd4 after structural relaxation at the PBE level of DFT.

```
LaGe4Pd4
1.0
-2.724 -1.126 3.719
4.664 -6.977 1.305
5.158 4.404 5.111
La Ge Pd
2 8 8
Direct
0.000 0.000 0.000
0.500 0.500 0.500
0.500 0.861 0.270
0.500 0.139 0.730
0.000 0.770 0.639
0.000 0.361 0.770
0.000 0.639 0.230
0.500 0.270 0.139
0.500 0.730 0.861
0.000 0.230 0.361
0.500 0.413 0.862
0.000 0.638 0.913
0.500 0.587 0.138
0.000 0.087 0.638
0.500 0.862 0.587
0.000 0.913 0.362
0.000 0.362 0.087
0.500 0.138 0.413
```

Magnetization: 0.00 μB/f.u.
Energy relative to the elements: -0.536 eV per atom



# 5
Computed, not measured: Tb5Nd12Tm2 after structural relaxation at the PBE level of DFT.

```
Tb5Nd12Tm2
1.0
-0.374 -1.044 -7.514
9.281 -3.486 3.861
1.190 -9.860 1.310
Tb Nd Tm
5 12 2
Direct
0.175 0.350 0.825
0.320 0.639 0.180
0.000 0.000 0.500
0.680 0.361 0.820
0.825 0.650 0.175
0.000 0.000 0.204
0.080 0.676 0.840
0.596 0.676 0.840
0.081 0.676 0.483
0.596 0.676 0.483
0.500 0.999 0.679
0.500 0.001 0.321
0.919 0.324 0.517
0.404 0.324 0.517
0.920 0.324 0.160
0.404 0.324 0.160
0.000 0.000 0.796
0.700 0.000 0.000
0.300 0.000 0.000
```

Magnetization: 0.00 μB/f.u.
Energy relative to the elements: 0.171 eV per atom
Relative energy among the computed polymorphs: 43 meV per atom



# 6
Computed, not measured: K3VBi after structural relaxation at the PBE level of DFT.

```
K3VBi
1.0
6.801 0.000 0.000
0.000 6.801 0.000
0.000 0.000 6.801
K Bi V
3 1 1
Direct
0.000 0.500 0.000
0.000 0.000 0.500
0.500 0.000 0.000
0.000 0.000 0.000
0.500 0.500 0.500
```

Magnetization: 4.84 μB/f.u.
Energy relative to the elements: 0.757 eV per atom
Relative energy among the computed polymorphs: 0 meV per atom



# 7
Computed, not measured: TiCo2BSe after structural relaxation at the PBE level of DFT.

```
TiCo2BSe
1.0
4.213 0.000 0.000
0.000 4.730 0.000
0.000 0.000 4.213
B Co Se Ti
1 2 1 1
Direct
0.500 0.500 0.500
0.000 0.000 0.500
0.500 0.000 0.000
0.000 0.000 0.000
0.000 0.500 0.000
```

Magnetization: 2.49 μB/f.u.
Formation energy from raw total energies: 1.098 eV/atom



# 8
Computed, not measured: Ca2AlAg after structural relaxation at the PBE level of DFT.

```
Ca2AlAg
1.0
-3.950 -0.263 1.228
-0.929 -2.709 -3.568
6.574 -9.088 5.188
Ca Al Ag
4 2 2
Direct
0.851 0.750 0.601
0.149 0.250 0.399
0.852 0.750 0.102
0.148 0.250 0.898
0.437 0.250 0.686
0.563 0.750 0.314
0.438 0.250 0.188
0.562 0.750 0.812
```

Magnetization: 0.00 μB/f.u.
Energy relative to the elements: -0.248 eV per atom



# 9
Computed, not measured: TlCuTe2 after structural relaxation at the PBE level of DFT.

```
TlCuTe2
1.0
4.438 0.000 0.000
0.000 4.901 0.000
0.000 0.000 4.901
Cu Te Tl
1 2 1
Direct
0.500 0.000 0.500
0.000 0.000 0.000
0.000 0.500 0.500
0.500 0.500 0.000
```

Magnetization: 0.00 μB/f.u.
Formation energy from raw total energies: 0.328 eV/atom



# 10
Computed, not measured: NaH2Rh after structural relaxation at the PBE level of DFT.

```
NaH2Rh
1.0
-2.333 -2.596 1.403
0.236 -0.979 3.624
-2.713 1.010 2.402
Na Rh H
1 1 2
Direct
0.000 0.000 0.000
0.500 0.500 0.500
0.250 0.250 0.250
0.750 0.750 0.750
```

Magnetization: 0.00 μB/f.u.
Relative energy among the computed polymorphs: 620 meV per atom



# 11
Computed, not measured: Na2FeH6 after structural relaxation at the PBE level of DFT.

```
Na2FeH6
1.0
4.657 0.000 0.000
0.000 4.657 0.000
0.000 0.000 9.334
Na Fe H
4 2 12
Direct
0.500 0.500 0.336
0.500 0.500 0.664
0.000 0.000 0.164
0.000 0.000 0.836
0.500 0.500 0.000
0.000 0.000 0.500
0.666 0.666 0.124
0.666 0.666 0.876
0.759 0.759 0.500
0.741 0.259 0.000
0.834 0.166 0.376
0.834 0.166 0.624
0.166 0.834 0.376
0.166 0.834 0.624
0.259 0.741 0.000
0.241 0.241 0.500
0.334 0.334 0.124
0.334 0.334 0.876
```

Magnetization: 2.00 μB/f.u.
Final energy: -60.960 eV/cell



# 12
Computed, not measured: CdSb2OsPb after structural relaxation at the PBE level of DFT.

```
CdSb2OsPb
1.0
-4.231 -2.887 0.415
1.765 -1.922 4.628
-2.364 3.824 2.490
Pb Sb Os Cd
1 2 1 1
Direct
0.500 0.500 0.500
0.000 0.000 0.500
0.500 0.000 0.000
0.000 0.000 0.000
0.000 0.500 0.000
```

Magnetization: 0.00 μB/f.u.
Formation energy from raw total energies: 0.466 eV/atom



Among the records above, which one has the highest magnetization? K3VBi



Repeat the seventh record exactly.
Computed, not measured: TiCo2BSe after structural relaxation at the PBE level of DFT.

```
TiCo2BSe
1.0
4.213 0.000 0.000
0.000 4.730 0.000
0.000 0.000 4.213
B Co Se Ti
1 2 1 1
Direct
0.500 0.500 0.500
0.000 0.000 0.500
0.500 0.000 0.000
0.000 0.000 0.000
0.000 0.500 0.000
```

Magnetization: 2.49 μB/f.u.
Formation energy from raw total energies: 1.098 eV/atom



Number 10 is which compound? NaH2Rh